! Tb2Nd4SmDy (PBE-GGA, relaxed); values from VASP
&SYSTEM
  ibrav = 0, nat = 8, ntyp = 4
/
ATOMIC_SPECIES
Tb 158.93 Tb.upf
Nd 144.24 Nd.upf
Sm 150.36 Sm.upf
Dy 162.50 Dy.upf
CELL_PARAMETERS angstrom
3.639 0.000 0.000
0.000 6.283 0.020
0.000 2.098 11.793
ATOMIC_POSITIONS angstrom
Tb 0.000 2.098 11.793
Tb 1.820 1.049 5.896
Nd 0.000 6.281 8.842
Nd 3.639 2.100 2.970
Nd 1.820 5.243 2.974
Nd 1.820 3.138 8.838
Sm 1.820 3.141 0.010
Dy 0.000 4.191 5.906
! - Spin magnetization: 0.00 μB/f.u.
! - Fermi-level density of states: 11.082 states/eV/f.u.
! - Total energy: -37.54 eV per formula unit
! - E_form: 11 kJ/mol of formula units
! - Symmetry: No. 10
! - Volume: 269 Å³/cell